Record 1
This record from Alexandria via LeMat-Bulk describes a geometry-optimized Tl2In3Bi2 structure. The functional is PBE-GGA.

a = 11.465 Å, b = 5.230 Å, c = 7.042 Å
α = 90.00°, β = 90.71°, γ = 90.00°
Space group C2/m (No. 12)
Symmetry-distinct sites (fractional):
Tl1 0.067 0.000 0.270 x4
In1 0.000 0.500 0.000 x2
In2 0.223 0.000 0.849 x4
Bi1 0.135 0.500 0.570 x4

Calculated values
The value obtained for the energy of formation is 20 meV per atom. For the energy above the most stable polymorph in this dataset, the calculation gives 0.0 kJ/mol of atoms.

=====

Record 2
This record from Alexandria via LeMat-Bulk describes a geometry-optimized Tl2InBi5 structure. The functional is PBE-GGA.

a = 7.036 Å, b = 7.036 Å, c = 10.279 Å
α = 90.00°, β = 90.00°, γ = 90.00°
Space group I4mm (No. 107)
Symmetry-distinct sites (fractional):
Tl1 0.000 0.500 0.000 x4
In1 0.000 0.000 0.497 x2
Bi1 0.000 0.000 0.045 x2
Bi2 0.240 0.240 0.756 x8

Calculated values
The value obtained for the energy of formation is 50 meV per atom.

=====

Record 3
This record from Alexandria via LeMat-Bulk describes a geometry-optimized TlIn2Bi structure. The functional is PBE-GGA.

a = 5.042 Å, b = 5.042 Å, c = 4.692 Å
α = 90.00°, β = 90.00°, γ = 90.00°
Space group P4/mmm (No. 123)
Symmetry-distinct sites (fractional):
Tl1 0.000 0.000 0.000 x1
In1 0.000 0.500 0.500 x2
Bi1 0.500 0.500 0.000 x1

Calculated values
The value obtained for the energy of formation is 5 meV per atom. For the energy above the most stable polymorph in this dataset, the calculation gives 0.0 kJ/mol of atoms.

=====

Record 4
This record from Alexandria via LeMat-Bulk describes a geometry-optimized Tl6In3Bi2 structure. The functional is PBE-GGA.

a = 4.749 Å, b = 6.050 Å, c = 13.087 Å
α = 102.40°, β = 90.50°, γ = 112.56°
Space group P-1 (No. 2)
Symmetry-distinct sites (fractional):
Tl1 0.043 0.089 0.318 x2
Tl2 0.139 0.273 0.957 x2
Tl3 0.224 0.444 0.591 x2
In1 0.407 0.816 0.859 x2
In2 0.500 0.000 0.500 x1
Bi1 0.315 0.632 0.227 x2

Calculated values
The value obtained for the energy of formation is 3 meV per atom.

=====

Record 5
This record from Alexandria via LeMat-Bulk describes a geometry-optimized TlIn2Bi structure. The functional is PBE-GGA.

a = 7.278 Å, b = 7.278 Å, c = 12.166 Å
α = 90.00°, β = 90.00°, γ = 90.00°
Space group I-42d (No. 122)
Symmetry-distinct sites (fractional):
Tl1 0.000 0.000 0.000 x4
In1 0.247 0.250 0.625 x8
Bi1 0.000 0.000 0.500 x4

Calculated values
The value obtained for the energy of formation is 209 meV per atom. For the energy above the most stable polymorph in this dataset, the calculation gives 19.6 kJ/mol of atoms.

=====

Record 6
This record from Alexandria via LeMat-Bulk describes a geometry-optimized TlInBi2 structure. The functional is PBE-GGA.

a = 7.073 Å, b = 10.315 Å, c = 6.864 Å
α = 90.00°, β = 90.00°, γ = 90.00°
Space group Cmcm (No. 63)
Symmetry-distinct sites (fractional):
Tl1 0.000 0.239 0.250 x4
In1 0.000 0.240 0.750 x4
Bi1 0.231 0.500 0.000 x8

Calculated values
The value obtained for the energy of formation is 17 meV per atom. For the energy above the most stable polymorph in this dataset, the calculation gives 1.0 kJ/mol of atoms.

=====

Record 7
This record from Alexandria via LeMat-Bulk describes a geometry-optimized Tl4In4Bi structure. The functional is PBE-GGA.

a = 10.264 Å, b = 10.264 Å, c = 5.061 Å
α = 90.00°, β = 90.00°, γ = 90.00°
Space group I4/mmm (No. 139)
Symmetry-distinct sites (fractional):
Tl1 0.167 0.167 0.000 x8
In1 0.000 0.339 0.500 x8
Bi1 0.000 0.000 0.500 x2

Calculated values
The value obtained for the energy of formation is 16 meV per atom.

=====

Record 8
This record from Alexandria via LeMat-Bulk describes a geometry-optimized Tl3In2Bi4 structure. The functional is PBE-GGA.

a = 16.966 Å, b = 9.807 Å, c = 6.763 Å
α = 90.00°, β = 90.01°, γ = 90.00°
Space group C2/c (No. 15)
Symmetry-distinct sites (fractional):
Tl1 0.000 0.000 0.250 x4
Tl2 0.165 0.500 0.250 x8
In1 0.166 0.174 0.001 x8
Bi1 0.004 0.330 0.500 x8
Bi2 0.168 0.159 0.501 x8

Calculated values
The value obtained for the energy of formation is -8 meV per atom.

=====

Record 9
This record from Alexandria via LeMat-Bulk describes a geometry-optimized Tl2InBi2 structure. The functional is PBE-GGA.

a = 4.587 Å, b = 4.587 Å, c = 16.827 Å
α = 90.00°, β = 90.00°, γ = 90.00°
Space group I4/mmm (No. 139)
Symmetry-distinct sites (fractional):
Tl1 0.000 0.000 0.099 x4
In1 0.000 0.000 0.500 x2
Bi1 0.000 0.500 0.250 x4

Calculated values
The value obtained for the energy of formation is 109 meV per atom. For the energy above the most stable polymorph in this dataset, the calculation gives 10.4 kJ/mol of atoms.

=====

Record 10
This record from Alexandria via LeMat-Bulk describes a geometry-optimized Tl12InBi7 structure. The functional is PBE-GGA.

a = 13.6368 Å, b = 13.6368 Å, c = 12.0775 Å
α = 90.00°, β = 90.00°, γ = 120.00°
Space group R-3m (No. 166, hexagonal axes)
Symmetry-distinct sites (fractional):
Tl1 0.0000 0.2573 0.0000 x18
Tl2 0.0861 0.1722 0.7548 x18
In1 0.0000 0.0000 0.5000 x3
Bi1 0.0000 0.0000 0.0000 x3
Bi2 0.0597 0.5298 0.1186 x18

Calculated values
The value obtained for the energy of formation is 5 meV per atom.

=====

Record 11
This record from Alexandria via LeMat-Bulk describes a geometry-optimized Tl5In2Bi4 structure. The functional is PBE-GGA.

a = 14.600 Å, b = 5.169 Å, c = 10.134 Å
α = 90.00°, β = 91.32°, γ = 90.00°
Space group C2/m (No. 12)
Symmetry-distinct sites (fractional):
Tl1 0.000 0.000 0.000 x2
Tl2 0.159 0.500 0.545 x4
Tl3 0.166 0.500 0.934 x4
In1 0.013 0.000 0.645 x4
Bi1 0.060 0.500 0.231 x4
Bi2 0.218 0.000 0.755 x4

Calculated values
The value obtained for the energy of formation is 37 meV per atom.

=====

Record 12
This record from Alexandria via LeMat-Bulk describes a geometry-optimized Tl2In3Bi2 structure. The functional is PBE-GGA.

a = 4.941 Å, b = 25.474 Å, c = 3.387 Å
α = 90.00°, β = 90.00°, γ = 90.00°
Space group Cmmm (No. 65)
Symmetry-distinct sites (fractional):
Tl1 0.000 0.136 0.000 x4
In1 0.000 0.000 0.000 x2
In2 0.000 0.434 0.500 x4
Bi1 0.000 0.289 0.500 x4

Calculated values
The value obtained for the energy of formation is 23 meV per atom. For the energy above the most stable polymorph in this dataset, the calculation gives 0.3 kJ/mol of atoms.

=====

Record 13
This record from Alexandria via LeMat-Bulk describes a geometry-optimized TlIn5Bi6 structure. The functional is PBE-GGA.

a = 9.145 Å, b = 17.502 Å, c = 5.964 Å
α = 90.00°, β = 130.32°, γ = 90.00°
Space group C2/m (No. 12)
Symmetry-distinct sites (fractional):
Tl1 0.000 0.000 0.000 x2
In1 0.000 0.161 0.500 x4
In2 0.000 0.335 0.000 x4
In3 0.000 0.500 0.500 x2
Bi1 0.239 0.500 0.239 x4
Bi2 0.245 0.327 0.746 x8

Calculated values
The value obtained for the energy of formation is 58 meV per atom.

=====

Record 14
This record from Alexandria via LeMat-Bulk describes a geometry-optimized Tl7In4Bi structure. The functional is PBE-GGA.

a = 5.5412 Å, b = 5.5412 Å, c = 13.5257 Å
α = 90.00°, β = 90.00°, γ = 120.00°
Space group P-3m1 (No. 164)
Symmetry-distinct sites (fractional):
Tl1 0.0000 0.0000 0.0000 x1
Tl2 0.0000 0.0000 0.2501 x2
Tl3 0.3333 0.6667 0.1590 x2
Tl4 0.3333 0.6667 0.4112 x2
In1 0.3333 0.6667 0.6725 x2
In2 0.3333 0.6667 0.9147 x2
Bi1 0.0000 0.0000 0.5000 x1

Calculated values
The value obtained for the energy of formation is 17 meV per atom.

=====

Record 15
This record from Alexandria via LeMat-Bulk describes a geometry-optimized TlIn2Bi structure. The functional is PBE-GGA.

a = 3.774 Å, b = 3.774 Å, c = 8.410 Å
α = 90.00°, β = 90.00°, γ = 90.00°
Space group P4/mmm (No. 123)
Symmetry-distinct sites (fractional):
Tl1 0.000 0.000 0.000 x1
In1 0.500 0.500 0.260 x2
Bi1 0.000 0.000 0.500 x1

Calculated values
The value obtained for the energy of formation is 25 meV per atom. For the energy above the most stable polymorph in this dataset, the calculation gives 2.0 kJ/mol of atoms.

=====

Record 16
This record from Alexandria via LeMat-Bulk describes a geometry-optimized Tl12In7Bi structure. The functional is PBE-GGA.

a = 6.406 Å, b = 9.393 Å, c = 10.660 Å
α = 78.79°, β = 83.74°, γ = 79.09°
Space group P-1 (No. 2)
Symmetry-distinct sites (fractional):
Tl1 0.003 0.209 0.459 x2
Tl2 0.119 0.573 0.300 x2
Tl3 0.174 0.932 0.234 x2
Tl4 0.322 0.178 0.894 x2
Tl5 0.346 0.960 0.641 x2
Tl6 0.436 0.314 0.555 x2
In1 0.187 0.824 0.953 x2
In2 0.297 0.252 0.194 x2
In3 0.328 0.569 0.731 x2
In4 0.500 0.500 0.000 x1
Bi1 0.000 0.500 0.000 x1

Calculated values
The value obtained for the energy of formation is 34 meV per atom.

=====

Record 17
This record from Alexandria via LeMat-Bulk describes a geometry-optimized Tl4In5Bi6 structure. The functional is PBE-GGA.

a = 5.263 Å, b = 22.314 Å, c = 17.147 Å
α = 90.00°, β = 90.00°, γ = 90.00°
Space group Cmc2_1 (No. 36)
Symmetry-distinct sites (fractional):
Tl1 0.000 0.045 0.000 x4
Tl2 0.000 0.049 0.294 x4
Tl3 0.000 0.137 0.796 x4
Tl4 0.000 0.173 0.448 x4
In1 0.000 0.171 0.139 x4
In2 0.000 0.324 0.118 x4
In3 0.000 0.325 0.800 x4
In4 0.000 0.342 0.477 x4
In5 0.000 0.463 0.182 x4
Bi1 0.000 0.085 0.604 x4
Bi2 0.000 0.230 0.975 x4
Bi3 0.000 0.255 0.281 x4
Bi4 0.000 0.403 0.646 x4
Bi5 0.000 0.419 0.940 x4
Bi6 0.000 0.454 0.363 x4

Calculated values
The value obtained for the energy of formation is 8 meV per atom.

=====

Record 18
This record from Alexandria via LeMat-Bulk describes a geometry-optimized TlIn2Bi structure. The functional is PBE-GGA.

a = 7.818 Å, b = 7.818 Å, c = 7.818 Å
α = 90.00°, β = 90.00°, γ = 90.00°
Space group Fm-3m (No. 225)
Symmetry-distinct sites (fractional):
Tl1 0.000 0.000 0.000 x4
In1 0.250 0.250 0.250 x8
Bi1 0.000 0.000 0.500 x4

Calculated values
The value obtained for the energy of formation is 14 meV per atom. For the energy above the most stable polymorph in this dataset, the calculation gives 0.8 kJ/mol of atoms.

=====

Record 19
This record from Alexandria via LeMat-Bulk describes a geometry-optimized Tl3In2Bi2 structure. The functional is PBE-GGA.

a = 3.544 Å, b = 29.713 Å, c = 4.233 Å
α = 90.00°, β = 90.00°, γ = 90.00°
Space group Cmmm (No. 65)
Symmetry-distinct sites (fractional):
Tl1 0.000 0.000 0.000 x2
Tl2 0.000 0.427 0.500 x4
In1 0.000 0.295 0.500 x4
Bi1 0.000 0.144 0.000 x4

Calculated values
The value obtained for the energy of formation is 15 meV per atom. For the energy above the most stable polymorph in this dataset, the calculation gives 0.0 kJ/mol of atoms.

=====

Record 20
This record from Alexandria via LeMat-Bulk describes a geometry-optimized TlIn3Bi3 structure. The functional is PBE-GGA.

a = 9.2759 Å, b = 9.2759 Å, c = 17.0952 Å
α = 90.00°, β = 90.00°, γ = 120.00°
Space group R-3 (No. 148, hexagonal axes)
Symmetry-distinct sites (fractional):
Tl1 0.0000 0.0000 0.2458 x6
In1 0.0447 0.8085 0.9189 x18
Bi1 0.0522 0.8077 0.4156 x18

Calculated values
The value obtained for the energy of formation is 46 meV per atom. For the energy above the most stable polymorph in this dataset, the calculation gives 0.3 kJ/mol of atoms.